First-principles (PBE-GGA) data for crystalline Sr3DyC2N6 at its relaxed geometry, as listed in Alexandria via LeMat-Bulk.

As for the space-group type: No. 164. The value obtained for the total magnetic moment is 0.000 μB/cell. The formation energy without anion corrections is -8.979 eV/f.u.

Geometry as extended XYZ:
```
12
Lattice="5.6089 0.0000 0.0000 -2.8044 4.8574 0.0000 0.0000 0.0000 6.6462" Properties=species:S:1:pos:R:3 pbc="T T T"
Sr 0.0000 3.2383 4.5177
Sr 2.8044 1.6191 2.1285
Sr 0.0000 0.0000 0.0000
Dy 0.0000 0.0000 3.3231
C 2.8044 1.6191 4.8280
C 0.0000 3.2383 1.8182
N 1.1849 3.9224 1.8799
N 0.0000 1.8700 1.8799
N -1.1849 3.9224 1.8799
N 2.8044 2.9874 4.7663
N 1.6195 0.9350 4.7663
N 3.9894 0.9350 4.7663
```

---

First-principles (PBE-GGA) data for crystalline Mn2SnHgS at its relaxed geometry, as listed in Alexandria via LeMat-Bulk.

As for the space-group type: No. 123. The value obtained for the total magnetic moment is 9.769 μB/cell. The formation energy without anion corrections is 6.817 eV/f.u.

Geometry as extended XYZ:
```
5
Lattice="-0.3941 1.5485 -5.5615 -6.2164 0.8811 0.6858 0.9440 5.5167 1.4691" Properties=species:S:1:pos:R:3 pbc="T T T"
S -2.8333 3.9731 -1.7033
Mn 0.4720 2.7583 0.7346
Mn -0.1970 0.7742 -2.7808
Hg 0.0000 0.0000 0.0000
Sn -3.1082 0.4405 0.3429
```

---

First-principles (PBE-GGA) data for crystalline K8Rb3S at its relaxed geometry, as listed in Alexandria via LeMat-Bulk.

As for the space-group type: No. 186. The value obtained for the total magnetic moment is 0.000 μB/cell. The formation energy without anion corrections is -2.446 eV/f.u.

Geometry as extended XYZ:
```
24
Lattice="9.5475 0.0000 0.0000 0.0000 12.1867 -7.0360 0.0000 0.0000 14.0720" Properties=species:S:1:pos:R:3 pbc="T T T"
K 9.4942 0.8657 7.0360
K 9.4941 5.6605 9.8042
K 9.4942 5.6605 4.2677
K 4.7204 11.3210 0.0000
K 4.7204 6.5262 -2.7683
K 4.7204 6.5262 2.7683
K 7.4503 5.6377 0.0000
K 7.4503 9.3679 2.1536
K 7.4503 9.3679 -2.1536
K 2.6765 6.5490 7.0360
K 2.6766 2.8188 4.8823
K 2.6765 2.8188 9.1896
K 6.9592 4.0622 7.0360
K 2.1855 8.1245 0.0000
K 9.3284 0.0000 0.0000
K 4.5546 0.0000 0.0000
Rb 6.9266 8.5283 7.0359
Rb 6.9266 1.8292 3.1682
Rb 6.9266 1.8291 10.9037
Rb 2.1529 3.6583 0.0000
Rb 2.1529 10.3575 3.8677
Rb 2.1529 10.3575 -3.8678
S 0.6328 4.0622 7.0360
S 5.4066 8.1245 0.0000
```